Entry 1
Entry from the Alexandria database: POsCl2 after structural relaxation (PBE).

Output
N(E_F)   4.2 states/eV/cell
Crystal system   orthorhombic
SG   Cmmm (65)
M_tot   0.0 Bohr magnetons per cell

Lattice parameters (Å, degrees): 4.499 13.094 3.624 90.00 90.00 90.00
Positions (direct):
P 0.000 0.000 0.000
P 0.500 0.500 0.000
Os 0.000 0.500 0.000
Os 0.500 0.000 0.000
Cl 0.000 0.376 0.500
Cl 0.000 0.624 0.500
Cl 0.500 0.124 0.500
Cl 0.500 0.876 0.500


Entry 2
Entry from the Alexandria database: POsCl2 after structural relaxation (PBE).

Output
N(E_F)   2.4 states/eV/cell
Crystal system   orthorhombic
SG   Cmm2 (35)
M_tot   0.0 Bohr magnetons per cell

Lattice parameters (Å, degrees): 3.081 5.941 9.205 90.00 90.00 90.00
Positions (direct):
P 0.000 0.000 0.000
P 0.500 0.500 0.000
Os 0.000 0.500 0.824
Os 0.500 0.000 0.824
Cl 0.000 0.000 0.612
Cl 0.000 0.500 0.216
Cl 0.500 0.000 0.216
Cl 0.500 0.500 0.612


Short version: entry 2 is the least stable of them.


Entry 1
Entry from the Alexandria database: POsCl3 after structural relaxation (PBE).

Output
N(E_F)   9.5 states/eV/cell
Crystal system   cubic
SG   Pm-3m (221)
M_tot   4.4 Bohr magnetons per cell

Lattice parameters (Å, degrees): 4.904 4.904 4.904 90.00 90.00 90.00
Positions (direct):
P 0.000 0.000 0.000
Os 0.500 0.500 0.500
Cl 0.000 0.000 0.500
Cl 0.000 0.500 0.000
Cl 0.500 0.000 0.000


Entry 2
Entry from the Alexandria database: POsCl3 after structural relaxation (PBE).

Output
N(E_F)   4.9 states/eV/cell
Crystal system   cubic
SG   Pm-3m (221)
M_tot   0.0 Bohr magnetons per cell

Lattice parameters (Å, degrees): 4.725 4.725 4.725 90.00 90.00 90.00
Positions (direct):
P 0.000 0.000 0.000
Os 0.500 0.500 0.500
Cl 0.000 0.500 0.500
Cl 0.500 0.000 0.500
Cl 0.500 0.500 0.000


Short version: entry 1 is the least stable of them.


Entry 1
Entry from the Alexandria database: P3OsCl after structural relaxation (PBE).

Output
N(E_F)   5.9 states/eV/cell
Crystal system   cubic
SG   Pm-3m (221)
M_tot   0.0 Bohr magnetons per cell

Lattice parameters (Å, degrees): 4.631 4.631 4.631 90.00 90.00 90.00
Positions (direct):
P 0.000 0.000 0.500
P 0.000 0.500 0.000
P 0.500 0.000 0.000
Os 0.000 0.000 0.000
Cl 0.500 0.500 0.500


Entry 2
Entry from the Alexandria database: P3OsCl after structural relaxation (PBE).

Output
N(E_F)   2.1 states/eV/cell
Crystal system   cubic
SG   Pm-3m (221)
M_tot   0.0 Bohr magnetons per cell

Lattice parameters (Å, degrees): 4.315 4.315 4.315 90.00 90.00 90.00
Positions (direct):
P 0.000 0.000 0.500
P 0.000 0.500 0.000
P 0.500 0.000 0.000
Os 0.500 0.500 0.500
Cl 0.000 0.000 0.000


Short version: entry 2 is the least stable of them.


Entry 1
Entry from the Alexandria database: P2OsPtCl after structural relaxation (PBE).

Output
N(E_F)   7.3 states/eV/cell
Crystal system   tetragonal
SG   P4/mmm (123)
M_tot   3.1 Bohr magnetons per cell

Lattice parameters (Å, degrees): 4.564 4.564 5.368 90.00 90.00 90.00
Positions (direct):
P 0.000 0.500 0.000
P 0.500 0.000 0.000
Os 0.000 0.000 0.500
Pt 0.000 0.000 0.000
Cl 0.500 0.500 0.500


Entry 2
Entry from the Alexandria database: P2OsPtCl after structural relaxation (PBE).

Output
N(E_F)   5.3 states/eV/cell
Crystal system   tetragonal
SG   P4/mmm (123)
M_tot   0.0 Bohr magnetons per cell

Lattice parameters (Å, degrees): 4.513 4.513 4.866 90.00 90.00 90.00
Positions (direct):
P 0.000 0.500 0.000
P 0.500 0.000 0.000
Os 0.000 0.000 0.000
Pt 0.500 0.500 0.500
Cl 0.000 0.000 0.500


Short version: entry 1 is the least stable of them.


Entry 1
Entry from the Alexandria database: POsPtCl2 after structural relaxation (PBE).

Output
N(E_F)   3.7 states/eV/cell
Crystal system   tetragonal
SG   P4/mmm (123)
M_tot   3.7 Bohr magnetons per cell

Lattice parameters (Å, degrees): 4.832 4.832 4.718 90.00 90.00 90.00
Positions (direct):
P 0.000 0.000 0.000
Os 0.500 0.500 0.000
Pt 0.000 0.000 0.500
Cl 0.000 0.500 0.500
Cl 0.500 0.000 0.500


Entry 2
Entry from the Alexandria database: POsPtCl2 after structural relaxation (PBE).

Output
N(E_F)   7.7 states/eV/cell
Crystal system   tetragonal
SG   P4/mmm (123)
M_tot   0.0 Bohr magnetons per cell

Lattice parameters (Å, degrees): 4.784 4.784 4.529 90.00 90.00 90.00
Positions (direct):
P 0.000 0.000 0.000
Os 0.000 0.000 0.500
Pt 0.500 0.500 0.000
Cl 0.000 0.500 0.500
Cl 0.500 0.000 0.500


Short version: entry 1 is the least stable of them.


Entry 1
Entry from the Alexandria database: P2OsRhCl after structural relaxation (PBE).

Output
N(E_F)   2.7 states/eV/cell
Crystal system   tetragonal
SG   P4/mmm (123)
M_tot   2.3 Bohr magnetons per cell

Lattice parameters (Å, degrees): 4.561 4.561 4.635 90.00 90.00 90.00
Positions (direct):
P 0.000 0.500 0.000
P 0.500 0.000 0.000
Os 0.000 0.000 0.500
Rh 0.500 0.500 0.000
Cl 0.500 0.500 0.500


Entry 2
Entry from the Alexandria database: P2OsRhCl after structural relaxation (PBE).

Output
N(E_F)   4.5 states/eV/cell
Crystal system   tetragonal
SG   P4/mmm (123)
M_tot   0.8 Bohr magnetons per cell

Lattice parameters (Å, degrees): 4.491 4.491 4.968 90.00 90.00 90.00
Positions (direct):
P 0.000 0.500 0.000
P 0.500 0.000 0.000
Os 0.000 0.000 0.000
Rh 0.500 0.500 0.500
Cl 0.000 0.000 0.500


Short version: entry 1 is the least stable of them.


Entry 1
Entry from the Alexandria database: POsSCl2 after structural relaxation (PBE).

Output
N(E_F)   5.3 states/eV/cell
Crystal system   tetragonal
SG   P4/mmm (123)
M_tot   0.0 Bohr magnetons per cell

Lattice parameters (Å, degrees): 4.712 4.712 4.625 90.00 90.00 90.00
Positions (direct):
P 0.000 0.000 0.000
Os 0.000 0.000 0.500
S 0.500 0.500 0.000
Cl 0.000 0.500 0.500
Cl 0.500 0.000 0.500


Entry 2
Entry from the Alexandria database: POsSCl2 after structural relaxation (PBE).

Output
N(E_F)   6.7 states/eV/cell
Crystal system   tetragonal
SG   P4/mmm (123)
M_tot   3.1 Bohr magnetons per cell

Lattice parameters (Å, degrees): 4.382 4.382 5.365 90.00 90.00 90.00
Positions (direct):
P 0.000 0.000 0.000
Os 0.500 0.500 0.000
S 0.000 0.000 0.500
Cl 0.000 0.500 0.500
Cl 0.500 0.000 0.500


Entry 3
Entry from the Alexandria database: POsSCl2 after structural relaxation (PBE).

Output
N(E_F)   5.7 states/eV/cell
Crystal system   tetragonal
SG   P4/mmm (123)
M_tot   4.0 Bohr magnetons per cell

Lattice parameters (Å, degrees): 4.634 4.634 4.834 90.00 90.00 90.00
Positions (direct):
P 0.000 0.000 0.000
Os 0.500 0.500 0.500
S 0.000 0.000 0.500
Cl 0.000 0.500 0.000
Cl 0.500 0.000 0.000


Entry 4
Entry from the Alexandria database: POsSCl2 after structural relaxation (PBE).

Output
N(E_F)   3.6 states/eV/cell
Crystal system   tetragonal
SG   P4/mmm (123)
M_tot   2.2 Bohr magnetons per cell

Lattice parameters (Å, degrees): 4.963 4.963 4.428 90.00 90.00 90.00
Positions (direct):
P 0.000 0.000 0.000
Os 0.500 0.500 0.500
S 0.500 0.500 0.000
Cl 0.000 0.500 0.500
Cl 0.500 0.000 0.500


Short version: entry 2 is the least stable of them.


Entry 1
Entry from the Alexandria database: POsS2Cl after structural relaxation (PBE).

Output
N(E_F)   3.9 states/eV/cell
Crystal system   tetragonal
SG   P4/mmm (123)
M_tot   0.0 Bohr magnetons per cell

Lattice parameters (Å, degrees): 4.420 4.420 4.418 90.00 90.00 90.00
Positions (direct):
P 0.000 0.000 0.000
Os 0.500 0.500 0.000
S 0.000 0.500 0.500
S 0.500 0.000 0.500
Cl 0.000 0.000 0.500


Entry 2
Entry from the Alexandria database: POsS2Cl after structural relaxation (PBE).

Output
N(E_F)   5.8 states/eV/cell
Crystal system   tetragonal
SG   P4/mmm (123)
M_tot   4.1 Bohr magnetons per cell

Lattice parameters (Å, degrees): 4.592 4.592 4.490 90.00 90.00 90.00
Positions (direct):
P 0.000 0.000 0.000
Os 0.500 0.500 0.500
S 0.000 0.500 0.000
S 0.500 0.000 0.000
Cl 0.000 0.000 0.500


Short version: entry 1 is the least stable of them.


Entry 1
Entry from the Alexandria database: POsS2Cl after structural relaxation (PBE).

Output
N(E_F)   4.2 states/eV/cell
Crystal system   tetragonal
SG   P4/mmm (123)
M_tot   0.0 Bohr magnetons per cell

Lattice parameters (Å, degrees): 4.559 4.559 4.775 90.00 90.00 90.00
Positions (direct):
P 0.000 0.000 0.000
Os 0.500 0.500 0.500
S 0.000 0.500 0.500
S 0.500 0.000 0.500
Cl 0.500 0.500 0.000


Entry 2
Entry from the Alexandria database: POsS2Cl after structural relaxation (PBE).

Output
N(E_F)   5.2 states/eV/cell
Crystal system   tetragonal
SG   P4/mmm (123)
M_tot   0.0 Bohr magnetons per cell

Lattice parameters (Å, degrees): 4.570 4.570 4.757 90.00 90.00 90.00
Positions (direct):
P 0.000 0.000 0.000
Os 0.000 0.000 0.500
S 0.000 0.500 0.500
S 0.500 0.000 0.500
Cl 0.500 0.500 0.000


Short version: entry 1 is the least stable of them.


Entry 1
Entry from the Alexandria database: SbP2OsCl after structural relaxation (PBE).

Output
N(E_F)   5.5 states/eV/cell
Crystal system   tetragonal
SG   P4/mmm (123)
M_tot   0.0 Bohr magnetons per cell

Lattice parameters (Å, degrees): 4.601 4.601 4.923 90.00 90.00 90.00
Positions (direct):
Sb 0.000 0.000 0.000
P 0.000 0.500 0.500
P 0.500 0.000 0.500
Os 0.500 0.500 0.500
Cl 0.500 0.500 0.000


Entry 2
Entry from the Alexandria database: SbP2OsCl after structural relaxation (PBE).

Output
N(E_F)   5.2 states/eV/cell
Crystal system   tetragonal
SG   P4/mmm (123)
M_tot   3.4 Bohr magnetons per cell

Lattice parameters (Å, degrees): 5.073 5.073 4.909 90.00 90.00 90.00
Positions (direct):
Sb 0.000 0.000 0.000
P 0.000 0.500 0.000
P 0.500 0.000 0.000
Os 0.500 0.500 0.500
Cl 0.000 0.000 0.500


Short version: entry 2 is the least stable of them.


Entry 1
Entry from the Alexandria database: SiPOsCl2 after structural relaxation (PBE).

Output
N(E_F)   3.9 states/eV/cell
Crystal system   tetragonal
SG   P4/mmm (123)
M_tot   0.5 Bohr magnetons per cell

Lattice parameters (Å, degrees): 4.874 4.874 4.527 90.00 90.00 90.00
Positions (direct):
Si 0.000 0.000 0.000
P 0.500 0.500 0.000
Os 0.500 0.500 0.500
Cl 0.000 0.500 0.500
Cl 0.500 0.000 0.500


Entry 2
Entry from the Alexandria database: SiPOsCl2 after structural relaxation (PBE).

Output
N(E_F)   6.2 states/eV/cell
Crystal system   tetragonal
SG   P4/mmm (123)
M_tot   3.3 Bohr magnetons per cell

Lattice parameters (Å, degrees): 4.452 4.452 4.955 90.00 90.00 90.00
Positions (direct):
Si 0.000 0.000 0.000
P 0.000 0.000 0.500
Os 0.500 0.500 0.500
Cl 0.000 0.500 0.000
Cl 0.500 0.000 0.000


Short version: entry 2 is the least stable of them.


Entry 1
Entry from the Alexandria database: SnPOsCl2 after structural relaxation (PBE).

Output
N(E_F)   5.4 states/eV/cell
Crystal system   tetragonal
SG   P4/mmm (123)
M_tot   3.9 Bohr magnetons per cell

Lattice parameters (Å, degrees): 5.055 5.055 5.332 90.00 90.00 90.00
Positions (direct):
Sn 0.000 0.000 0.000
P 0.000 0.000 0.500
Os 0.500 0.500 0.500
Cl 0.000 0.500 0.000
Cl 0.500 0.000 0.000


Entry 2
Entry from the Alexandria database: SnPOsCl2 after structural relaxation (PBE).

Output
N(E_F)   3.1 states/eV/cell
Crystal system   tetragonal
SG   P4/mmm (123)
M_tot   0.0 Bohr magnetons per cell

Lattice parameters (Å, degrees): 4.928 4.928 4.567 90.00 90.00 90.00
Positions (direct):
Sn 0.000 0.000 0.000
P 0.500 0.500 0.000
Os 0.500 0.500 0.500
Cl 0.000 0.500 0.500
Cl 0.500 0.000 0.500


Short version: entry 1 is the least stable of them.


Entry 1
Entry from the Alexandria database: SrP2OsCl after structural relaxation (PBE).

Output
N(E_F)   14.3 states/eV/cell
Crystal system   tetragonal
SG   P4/mmm (123)
M_tot   0.0 Bohr magnetons per cell

Lattice parameters (Å, degrees): 5.433 5.433 5.300 90.00 90.00 90.00
Positions (direct):
Sr 0.000 0.000 0.000
P 0.000 0.500 0.000
P 0.500 0.000 0.000
Os 0.000 0.000 0.500
Cl 0.500 0.500 0.500


Entry 2
Entry from the Alexandria database: SrP2OsCl after structural relaxation (PBE).

Output
N(E_F)   7.7 states/eV/cell
Crystal system   tetragonal
SG   P4/mmm (123)
M_tot   1.8 Bohr magnetons per cell

Lattice parameters (Å, degrees): 5.711 5.711 5.250 90.00 90.00 90.00
Positions (direct):
Sr 0.000 0.000 0.000
P 0.000 0.500 0.000
P 0.500 0.000 0.000
Os 0.500 0.500 0.500
Cl 0.000 0.000 0.500


Short version: entry 1 is the least stable of them.